Record 1
PBE Ba3HRh, optimized geometry; electronic total energy = -17.6 eV per formula unit; spin magnetization = 0.02 μB per formula unit; energy relative to the lowest polymorph listed for this composition = 0.00 eV per formula unit; space group = P2_1/m, No. 11; V = 175 Å³/f.u.
1.0
-1.448 5.965 0.620
-5.828 -1.499 0.813
4.360 0.144 8.789
Ba H Rh
6 2 2
direct
0.250 0.258 0.015
0.750 0.742 0.985
0.250 0.921 0.343
0.750 0.079 0.657
0.250 0.580 0.658
0.750 0.420 0.342
0.250 0.425 0.352
0.750 0.575 0.648
0.250 0.100 0.698
0.750 0.900 0.302

---

Record 2
PBE SmCoRu, optimized geometry; electronic total energy = -21.6 eV per formula unit; spin magnetization = 0.97 μB per formula unit; energy relative to the lowest polymorph listed for this composition = 0.00 eV per formula unit; ΔH_f (0 K) = -0.16 eV/atom; space group = Imma, No. 74; V = 52 Å³/f.u.
1.0
-0.232 5.259 -0.469
-0.395 -2.329 4.728
4.565 -2.555 -0.753
Sm Co Ru
2 2 2
direct
0.250 0.123 0.873
0.750 0.877 0.127
0.500 0.500 0.500
0.000 0.500 0.000
0.000 0.500 0.500
0.500 0.000 0.500

---

Record 3
PBE KCr2ReNi, optimized geometry; electronic total energy = -22.9 eV per formula unit; spin magnetization = 6.26 μB per formula unit; ΔH_f (0 K) = 3.14 eV/atom; space group = P4/mmm, No. 123; V = 100 Å³/f.u.
1.0
4.643 0.000 0.000
0.000 4.642 0.000
0.000 0.000 4.643
Re K Cr Ni
1 1 2 1
direct
0.000 0.500 0.000
0.000 0.000 0.000
0.000 0.000 0.500
0.500 0.000 0.000
0.500 0.500 0.500

---

Record 4
PBE NiPd3S2, optimized geometry; electronic total energy = -30.1 eV per formula unit; spin magnetization = 0.00 μB per formula unit; space group = Ibam, No. 72; V = 93 Å³/f.u.; formation energy from raw total energies = -0.087 eV per atom
1.0
-3.982 -3.311 0.043
3.324 -3.953 3.465
-1.695 6.129 3.036
Ni Pd S
2 6 4
direct
0.000 0.250 0.000
0.000 0.750 0.000
0.421 0.691 0.381
0.579 0.309 0.619
0.040 0.809 0.619
0.960 0.191 0.381
0.500 0.750 0.000
0.500 0.250 0.000
0.314 0.112 0.223
0.686 0.888 0.777
0.090 0.388 0.777
0.910 0.612 0.223

---

Record 5
PBE BaNdAg10, optimized geometry; electronic total energy = -36.8 eV per formula unit; spin magnetization = 0.00 μB per formula unit; ΔH_f (0 K) = -0.13 eV/atom; space group = Pmmm, No. 47; V = 269 Å³/f.u.
1.0
-2.200 -3.275 -2.581
5.015 -1.609 -2.235
1.173 -6.612 7.391
Ba Nd Ag
1 1 10
direct
0.000 0.500 0.500
0.000 0.000 0.000
0.000 0.000 0.321
0.000 0.500 0.843
0.000 0.500 0.157
0.000 0.000 0.679
0.500 0.000 0.500
0.500 0.500 0.000
0.500 0.245 0.241
0.500 0.755 0.759
0.500 0.755 0.241
0.500 0.245 0.759

---

Record 6
PBE BaTaCu2, optimized geometry; electronic total energy = -17.5 eV per formula unit; spin magnetization = 0.99 μB per formula unit; energy relative to the lowest polymorph listed for this composition = 3.11 eV per formula unit; ΔH_f (0 K) = 1.11 eV/atom; space group = F-43m, No. 216; V = 80 Å³/f.u.
1.0
4.842 0.000 0.000
2.421 4.193 0.000
2.421 1.398 3.953
Ba Cu Ta
1 2 1
direct
0.500 0.500 0.500
0.000 0.000 0.000
0.750 0.750 0.750
0.250 0.250 0.250